First-principles (GGA-PBE) data for a relaxed MnCu2Pt crystal, as listed in Alexandria.

The structure in POSCAR format:
```
MnCu2Pt
1.0
0.000 3.003 3.003
3.003 0.000 3.003
3.003 3.003 0.000
Mn Cu Pt
1 2 1
direct
0.000 0.000 0.000
0.250 0.250 0.250
0.750 0.750 0.750
0.500 0.500 0.500
```

Results
SG = Fm-3m, No. 225
Calculated density = 11.6 Mg/m³
Energy of formation from the pure elements = -107 meV/atom